(1)
Crystalline MnZn3Ni at its relaxed geometry, computed with PBE-GGA.

```
data_MnZn3Ni
_chemical_formula_sum 'Mn1 Zn3 Ni1'
_symmetry_space_group_name_H-M 'P m -3 m'
_symmetry_Int_Tables_number 221
_symmetry_space_group_name_Hall '-P 4 2 3'
_cell_length_a 4.607
_cell_length_b 4.607
_cell_length_c 4.607
_cell_angle_alpha 90.00
_cell_angle_beta 90.00
_cell_angle_gamma 90.00
loop_
_atom_site_label
_atom_site_type_symbol
_atom_site_fract_x
_atom_site_fract_y
_atom_site_fract_z
_atom_site_occupancy
Mn1 Mn 0.000 0.000 0.000 1
Zn1 Zn 0.000 0.000 0.500 1
Ni1 Ni 0.500 0.500 0.500 1
```

Calculated values
The value obtained for the energy above the lowest structure with this stoichiometry is 0.566 eV/atom.


(2)
Crystalline MnZnNi2 at its relaxed geometry, computed with PBE-GGA.

```
data_MnZnNi2
_chemical_formula_sum 'Mn2 Zn2 Ni4'
_symmetry_space_group_name_H-M 'I m m m'
_symmetry_Int_Tables_number 71
_symmetry_space_group_name_Hall '-I 2 2'
_cell_length_a 2.524
_cell_length_b 4.368
_cell_length_c 9.580
_cell_angle_alpha 90.00
_cell_angle_beta 90.00
_cell_angle_gamma 90.00
loop_
_atom_site_label
_atom_site_type_symbol
_atom_site_fract_x
_atom_site_fract_y
_atom_site_fract_z
_atom_site_occupancy
Mn1 Mn 0.000 0.000 0.000 1
Zn1 Zn 0.000 0.000 0.500 1
Ni1 Ni 0.000 0.000 0.245 1
```

Calculated values
Its total energy is -5.1418 eV/atom.